Entry from the Alexandria database: a PBEsol-optimized structure of CoPH6NO5 (SCAN).

Cell: 17.648 5.555 4.702 Å, 90.00 90.00 90.00°
Positions (direct):
Co1 0.239 0.250 0.117
Co2 0.261 0.750 0.617
Co3 0.739 0.250 0.383
Co4 0.761 0.750 0.883
P1 0.155 0.750 0.184
P2 0.345 0.250 0.684
P3 0.655 0.750 0.316
P4 0.845 0.250 0.816
H1 0.021 0.750 0.937
H2 0.024 0.750 0.568
H3 0.045 0.095 0.255
H4 0.045 0.405 0.255
H5 0.159 0.108 0.689
H6 0.159 0.392 0.689
H7 0.341 0.608 0.189
H8 0.341 0.892 0.189
H9 0.455 0.595 0.755
H10 0.455 0.905 0.755
H11 0.476 0.250 0.068
H12 0.479 0.250 0.437
H13 0.521 0.750 0.563
H14 0.524 0.750 0.932
H15 0.545 0.095 0.245
H16 0.545 0.405 0.245
H17 0.659 0.108 0.811
H18 0.659 0.392 0.811
H19 0.841 0.608 0.311
H20 0.841 0.892 0.311
H21 0.955 0.595 0.745
H22 0.955 0.905 0.745
H23 0.976 0.250 0.432
H24 0.979 0.250 0.063
N1 0.012 0.250 0.253
N2 0.488 0.750 0.753
N3 0.512 0.250 0.247
N4 0.988 0.750 0.747
O1 0.069 0.750 0.249
O2 0.151 0.250 0.813
O3 0.166 0.750 0.863
O4 0.193 0.528 0.332
O5 0.193 0.972 0.332
O6 0.307 0.028 0.832
O7 0.307 0.472 0.832
O8 0.334 0.250 0.363
O9 0.349 0.750 0.313
O10 0.431 0.250 0.749
O11 0.569 0.750 0.251
O12 0.651 0.250 0.687
O13 0.666 0.750 0.637
O14 0.693 0.528 0.168
O15 0.693 0.972 0.168
O16 0.807 0.028 0.668
O17 0.807 0.472 0.668
O18 0.834 0.250 0.137
O19 0.849 0.750 0.187
O20 0.931 0.250 0.751

Summary:
The crystal system is orthorhombic. The symmetry is Pnma, No. 62. The volume is 461.0 Å³/cell. The calculation puts the excess energy over the best structure of this formula in the dataset at 0 meV/atom.


Entry from the Alexandria database: a PBEsol-optimized structure of RbCoH2N (SCAN).

Cell: 3.467 3.467 5.482 Å, 90.00 90.00 90.00°
Positions (direct):
Rb1 0.000 0.000 0.000
Co1 0.500 0.500 0.500
H1 0.000 0.500 0.000
H2 0.500 0.000 0.000
N1 0.000 0.000 0.500

Summary:
The value obtained for the density of states at the Fermi level is 2.9 states/eV/cell. The crystal system is tetragonal. The symmetry is P4/mmm, No. 123. The value obtained for the energy is -8.625 eV/atom. The volume is 65.9 Å³/cell.


Entry from the Alexandria database: a PBEsol-optimized structure of NaCoH3 (SCAN).

Cell: 4.877 4.877 4.500 Å, 90.00 90.00 120.00°
Positions (direct):
Na1 0.333 0.667 0.250
Na2 0.667 0.333 0.750
Co1 0.000 0.000 0.000
Co2 0.000 0.000 0.500
H1 0.143 0.286 0.750
H2 0.143 0.857 0.750
H3 0.286 0.143 0.250
H4 0.714 0.857 0.750
H5 0.857 0.143 0.250
H6 0.857 0.714 0.250

Summary:
The value obtained for the density of states at the Fermi level is 0.7 states/eV/cell. The crystal system is hexagonal. The symmetry is P6_3/mmc, No. 194. The value obtained for the energy is -6.614 eV/atom. The volume is 92.7 Å³/cell.


Entry from the Alexandria database: a PBEsol-optimized structure of Na5CoHO4 (SCAN).

Cell: 9.825 9.901 11.727 Å, 90.00 90.00 90.00°
Positions (direct):
Na1 0.002 0.089 0.217
Na2 0.002 0.411 0.217
Na3 0.076 0.568 0.412
Na4 0.076 0.932 0.412
Na5 0.086 0.250 0.441
Na6 0.116 0.750 0.978
Na7 0.133 0.064 0.984
Na8 0.133 0.436 0.984
Na9 0.218 0.078 0.687
Na10 0.218 0.422 0.687
Na11 0.282 0.578 0.187
Na12 0.282 0.922 0.187
Na13 0.367 0.564 0.484
Na14 0.367 0.936 0.484
Na15 0.384 0.250 0.478
Na16 0.414 0.750 0.941
Na17 0.424 0.068 0.912
Na18 0.424 0.432 0.912
Na19 0.498 0.589 0.717
Na20 0.498 0.911 0.717
Na21 0.502 0.089 0.283
Na22 0.502 0.411 0.283
Na23 0.576 0.568 0.088
Na24 0.576 0.932 0.088
Na25 0.586 0.250 0.059
Na26 0.616 0.750 0.522
Na27 0.633 0.064 0.516
Na28 0.633 0.436 0.516
Na29 0.718 0.078 0.813
Na30 0.718 0.422 0.813
Na31 0.782 0.578 0.313
Na32 0.782 0.922 0.313
Na33 0.867 0.564 0.016
Na34 0.867 0.936 0.016
Na35 0.884 0.250 0.022
Na36 0.914 0.750 0.559
Na37 0.924 0.068 0.588
Na38 0.924 0.432 0.588
Na39 0.998 0.589 0.783
Na40 0.998 0.911 0.783
Co1 0.015 0.750 0.210
Co2 0.208 0.750 0.617
Co3 0.292 0.250 0.117
Co4 0.485 0.250 0.710
Co5 0.515 0.750 0.290
Co6 0.708 0.750 0.883
Co7 0.792 0.250 0.383
Co8 0.985 0.250 0.790
H1 0.245 0.638 0.793
H2 0.245 0.862 0.793
H3 0.255 0.138 0.293
H4 0.255 0.362 0.293
H5 0.745 0.638 0.707
H6 0.745 0.862 0.707
H7 0.755 0.138 0.207
H8 0.755 0.362 0.207
O1 0.058 0.250 0.652
O2 0.063 0.600 0.123
O3 0.063 0.900 0.123
O4 0.096 0.599 0.605
O5 0.096 0.901 0.605
O6 0.111 0.250 0.113
O7 0.247 0.582 0.863
O8 0.247 0.918 0.863
O9 0.253 0.082 0.363
O10 0.253 0.418 0.363
O11 0.389 0.750 0.613
O12 0.404 0.099 0.105
O13 0.404 0.401 0.105
O14 0.437 0.100 0.623
O15 0.437 0.400 0.623
O16 0.442 0.750 0.152
O17 0.558 0.250 0.848
O18 0.563 0.600 0.377
O19 0.563 0.900 0.377
O20 0.596 0.599 0.895
O21 0.596 0.901 0.895
O22 0.611 0.250 0.387
O23 0.747 0.582 0.637
O24 0.747 0.918 0.637
O25 0.753 0.082 0.137
O26 0.753 0.418 0.137
O27 0.889 0.750 0.887
O28 0.904 0.099 0.395
O29 0.904 0.401 0.395
O30 0.937 0.100 0.877
O31 0.937 0.400 0.877
O32 0.942 0.750 0.348

Summary:
The crystal system is orthorhombic. The symmetry is Pnma, No. 62. The value obtained for the energy is -7.498 eV/atom. The volume is 1140.8 Å³/cell.


Entry from the Alexandria database: a PBEsol-optimized structure of NaCo3P3H2O12 (SCAN).

Cell: 8.363 8.363 6.472 Å, 105.65 105.65 91.01°
Positions (direct):
Na1 0.041 0.959 0.750
Na2 0.959 0.041 0.250
Co1 0.041 0.384 0.610
Co2 0.280 0.720 0.250
Co3 0.384 0.041 0.110
Co4 0.616 0.959 0.890
Co5 0.720 0.280 0.750
Co6 0.959 0.616 0.390
P1 0.110 0.328 0.099
P2 0.315 0.685 0.750
P3 0.328 0.110 0.599
P4 0.672 0.890 0.401
P5 0.685 0.315 0.250
P6 0.890 0.672 0.901
H1 0.384 0.385 0.189
H2 0.385 0.384 0.689
H3 0.615 0.616 0.311
H4 0.616 0.615 0.811
O1 0.016 0.668 0.122
O2 0.034 0.388 0.297
O3 0.151 0.161 0.586
O4 0.161 0.151 0.086
O5 0.207 0.725 0.537
O6 0.271 0.453 0.151
O7 0.275 0.793 0.963
O8 0.282 0.498 0.730
O9 0.332 0.984 0.378
O10 0.388 0.034 0.797
O11 0.453 0.271 0.651
O12 0.498 0.282 0.230
O13 0.502 0.718 0.770
O14 0.547 0.729 0.349
O15 0.612 0.966 0.203
O16 0.668 0.016 0.622
O17 0.718 0.502 0.270
O18 0.725 0.207 0.037
O19 0.729 0.547 0.849
O20 0.793 0.275 0.463
O21 0.839 0.849 0.914
O22 0.849 0.839 0.414
O23 0.966 0.612 0.703
O24 0.984 0.332 0.878

Summary:
The crystal system is monoclinic. The symmetry is C2/c, No. 15. The value obtained for the energy is -10.013 eV/atom. The volume is 417.8 Å³/cell.


Entry from the Alexandria database: a PBEsol-optimized structure of Na2CoP4H16O20 (SCAN).

Cell: 7.144 10.630 11.795 Å, 90.00 115.19 90.00°
Positions (direct):
Na1 0.217 0.174 0.463
Na2 0.217 0.326 0.963
Na3 0.783 0.674 0.037
Na4 0.783 0.826 0.537
Co1 0.500 0.000 0.000
Co2 0.500 0.500 0.500
P1 0.044 0.044 0.783
P2 0.044 0.456 0.283
P3 0.315 0.734 0.083
P4 0.315 0.766 0.583
P5 0.685 0.234 0.417
P6 0.685 0.266 0.917
P7 0.956 0.544 0.717
P8 0.956 0.956 0.217
H1 0.098 0.597 0.938
H2 0.098 0.903 0.438
H3 0.108 0.592 0.433
H4 0.108 0.908 0.933
H5 0.144 0.711 0.713
H6 0.144 0.789 0.213
H7 0.259 0.090 0.109
H8 0.259 0.410 0.609
H9 0.354 0.041 0.716
H10 0.354 0.459 0.216
H11 0.473 0.624 0.797
H12 0.473 0.876 0.297
H13 0.477 0.163 0.162
H14 0.477 0.337 0.662
H15 0.478 0.554 0.118
H16 0.478 0.946 0.618
H17 0.522 0.054 0.382
H18 0.522 0.446 0.882
H19 0.523 0.663 0.338
H20 0.523 0.837 0.838
H21 0.527 0.124 0.703
H22 0.527 0.376 0.203
H23 0.646 0.541 0.784
H24 0.646 0.959 0.284
H25 0.741 0.590 0.391
H26 0.741 0.910 0.891
H27 0.856 0.211 0.787
H28 0.856 0.289 0.287
H29 0.892 0.092 0.067
H30 0.892 0.408 0.567
H31 0.902 0.097 0.562
H32 0.902 0.403 0.062
O1 0.009 0.185 0.809
O2 0.009 0.315 0.309
O3 0.022 0.044 0.133
O4 0.022 0.456 0.633
O5 0.090 0.513 0.854
O6 0.090 0.987 0.354
O7 0.105 0.664 0.012
O8 0.105 0.836 0.512
O9 0.277 0.029 0.823
O10 0.277 0.471 0.323
O11 0.313 0.642 0.517
O12 0.313 0.858 0.017
O13 0.344 0.747 0.720
O14 0.344 0.753 0.220
O15 0.363 0.127 0.084
O16 0.363 0.373 0.584
O17 0.420 0.059 0.656
O18 0.420 0.441 0.156
O19 0.494 0.647 0.085
O20 0.494 0.853 0.585
O21 0.506 0.147 0.415
O22 0.506 0.353 0.915
O23 0.580 0.559 0.844
O24 0.580 0.941 0.344
O25 0.637 0.627 0.416
O26 0.637 0.873 0.916
O27 0.656 0.247 0.780
O28 0.656 0.253 0.280
O29 0.687 0.142 0.983
O30 0.687 0.358 0.483
O31 0.723 0.529 0.677
O32 0.723 0.971 0.177
O33 0.895 0.164 0.488
O34 0.895 0.336 0.988
O35 0.910 0.013 0.646
O36 0.910 0.487 0.146
O37 0.978 0.544 0.367
O38 0.978 0.956 0.867
O39 0.991 0.685 0.691
O40 0.991 0.815 0.191

Summary:
The value obtained for the density of states at the Fermi level is 0.0 states/eV/cell. The crystal system is monoclinic. The symmetry is P2_1/c, No. 14. The value obtained for the energy is -7.394 eV/atom. The volume is 810.5 Å³/cell.


Entry from the Alexandria database: a PBEsol-optimized structure of Na2CoH8S2O12 (SCAN).

Cell: 5.467 8.206 10.982 Å, 90.00 99.85 90.00°
Positions (direct):
Na1 0.115 0.075 0.362
Na2 0.115 0.425 0.862
Na3 0.885 0.575 0.138
Na4 0.885 0.925 0.638
Co1 0.000 0.000 0.000
Co2 0.000 0.500 0.500
H1 0.227 0.637 0.345
H2 0.227 0.863 0.845
H3 0.237 0.059 0.819
H4 0.237 0.441 0.319
H5 0.242 0.726 0.007
H6 0.242 0.774 0.507
H7 0.331 0.698 0.637
H8 0.331 0.802 0.137
H9 0.669 0.198 0.863
H10 0.669 0.302 0.363
H11 0.758 0.226 0.493
H12 0.758 0.274 0.993
H13 0.763 0.559 0.681
H14 0.763 0.941 0.181
H15 0.773 0.137 0.155
H16 0.773 0.363 0.655
S1 0.380 0.214 0.637
S2 0.380 0.286 0.137
S3 0.620 0.714 0.863
S4 0.620 0.786 0.363
O1 0.127 0.533 0.338
O2 0.127 0.967 0.838
O3 0.178 0.717 0.575
O4 0.178 0.783 0.075
O5 0.219 0.083 0.578
O6 0.219 0.417 0.078
O7 0.317 0.126 0.077
O8 0.317 0.374 0.577
O9 0.353 0.679 0.871
O10 0.353 0.821 0.371
O11 0.363 0.224 0.772
O12 0.363 0.276 0.272
O13 0.637 0.724 0.728
O14 0.637 0.776 0.228
O15 0.647 0.179 0.629
O16 0.647 0.321 0.129
O17 0.683 0.626 0.423
O18 0.683 0.874 0.923
O19 0.781 0.583 0.922
O20 0.781 0.917 0.422
O21 0.822 0.217 0.925
O22 0.822 0.283 0.425
O23 0.873 0.033 0.162
O24 0.873 0.467 0.662

Summary:
The value obtained for the density of states at the Fermi level is 0.0 states/eV/cell. The crystal system is monoclinic. The symmetry is P2_1/c, No. 14. The value obtained for the energy is -7.354 eV/atom. The volume is 485.4 Å³/cell.


Entry from the Alexandria database: a PBEsol-optimized structure of NaCo2H3Se2O10 (SCAN).

Cell: 5.463 5.463 7.511 Å, 111.39 111.39 68.98°
Positions (direct):
Na1 0.000 0.000 0.000
Co1 0.004 0.495 0.502
Co2 0.495 0.004 0.502
H1 0.189 0.189 0.732
H2 0.806 0.806 0.268
H3 0.988 0.988 0.494
Se1 0.415 0.415 0.208
Se2 0.588 0.588 0.795
O1 0.149 0.149 0.585
O2 0.246 0.688 0.749
O3 0.263 0.263 0.981
O4 0.313 0.757 0.253
O5 0.321 0.321 0.364
O6 0.683 0.683 0.641
O7 0.688 0.246 0.749
O8 0.738 0.738 0.022
O9 0.757 0.313 0.253
O10 0.847 0.847 0.416

Summary:
The crystal system is monoclinic. The symmetry is Cm, No. 8. The value obtained for the energy is -9.539 eV/atom. The volume is 187.7 Å³/cell.


Entry from the Alexandria database: a PBEsol-optimized structure of NbCoH3 (SCAN).

Cell: 3.243 3.243 3.243 Å, 90.00 90.00 90.00°
Positions (direct):
Nb1 0.000 0.000 0.000
Co1 0.500 0.500 0.500
H1 0.000 0.500 0.500
H2 0.500 0.000 0.500
H3 0.500 0.500 0.000

Summary:
The value obtained for the density of states at the Fermi level is 1.8 states/eV/cell. The crystal system is cubic. The symmetry is Pm-3m, No. 221. The value obtained for the energy is -12.178 eV/atom. The volume is 34.1 Å³/cell.


Entry from the Alexandria database: a PBEsol-optimized structure of NbCo3H (SCAN).

Cell: 5.165 5.165 4.173 Å, 90.00 90.00 120.00°
Positions (direct):
Nb1 0.333 0.667 0.250
Nb2 0.667 0.333 0.750
Co1 0.164 0.328 0.750
Co2 0.164 0.836 0.750
Co3 0.328 0.164 0.250
Co4 0.672 0.836 0.750
Co5 0.836 0.164 0.250
Co6 0.836 0.672 0.250
H1 0.000 0.000 0.000
H2 0.000 0.000 0.500

Summary:
The value obtained for the density of states at the Fermi level is 4.1 states/eV/cell. The crystal system is hexagonal. The symmetry is P6_3/mmc, No. 194. The volume is 96.4 Å³/cell. The calculation puts the excess energy over the best structure of this formula in the dataset at 0 meV/atom.